Record 1
A relaxed structure of NpTaRu2, computed with PBE-GGA.

Computed properties:
- offset from the most stable computed form (eV/atom) = 0.000
- magnetic moment (Bohr magnetons per cell) = 3.3
- total energy (eV/cell) = -44.1
- density (g/cm³) = 14.7

abc: 3.118 3.118 7.194
angles: 90.00 90.00 90.00
Fractional coordinates of all 4 atoms:
Np 0.000 0.000 0.000
Ta 0.000 0.000 0.500
Ru 0.500 0.500 0.282
Ru 0.500 0.500 0.718


Record 2
A relaxed structure of La2TmSn, computed with PBE-GGA.

Computed properties:
- offset from the most stable computed form (eV/atom) = 0.505
- magnetic moment (Bohr magnetons per cell) = 0.0
- total energy (eV/cell) = -18.1
- density (g/cm³) = 6.8

abc: 12.480 12.480 12.480
angles: 16.53 16.53 16.53
Fractional coordinates of all 4 atoms:
La 0.088 0.088 0.088
La 0.912 0.912 0.912
Tm 0.500 0.500 0.500
Sn 0.000 0.000 0.000


Record 3
A relaxed structure of TmZrSc, computed with PBE-GGA.

Computed properties:
- offset from the most stable computed form (eV/atom) = 0.166
- magnetic moment (Bohr magnetons per cell) = 0.0
- total energy (eV/cell) = -37.5
- density (g/cm³) = 6.4

abc: 3.157 5.276 9.459
angles: 90.00 90.00 90.00
Fractional coordinates of all 6 atoms:
Tm 0.250 0.250 0.068
Tm 0.750 0.750 0.932
Zr 0.250 0.250 0.444
Zr 0.750 0.750 0.556
Sc 0.250 0.750 0.266
Sc 0.750 0.250 0.734